1.
A geometry-optimized BaTl2CdPd structure. Source: the Alexandria database, functional GGA-PBE.

abc: 5.379 5.379 5.318
angles: 90.00 90.00 90.00
Fractional coordinates of all 5 atoms:
Cd (0.000, 0.000, 0.500)
Pd (0.000, 0.000, 0.000)
Ba (0.500, 0.500, 0.500)
Tl (0.000, 0.500, 0.000)
Tl (0.500, 0.000, 0.000)

## Properties
Density of states at the Fermi level   0.700 states/eV/atom
Polymorph energy (0 for the lowest one)   0.000 eV/atom
Energy relative to the elements   -1.29 eV per formula unit
Total DFT energy (no corrections)   -14.06 eV for the cell shown

2.
A geometry-optimized Ba2Tl3CdPd4 structure. Source: the Alexandria database, functional GGA-PBE.

abc: 4.901 4.901 10.900
angles: 90.00 90.00 90.00
Fractional coordinates of all 10 atoms:
Ba (0.000, 0.500, 0.762)
Tl (0.500, 0.000, 0.878)
Pd (0.000, 0.500, 0.374)
Pd (0.500, 0.000, 0.626)
Cd (0.500, 0.500, 0.500)
Pd (0.000, 0.000, 0.000)
Tl (0.000, 0.000, 0.500)
Tl (0.000, 0.500, 0.122)
Ba (0.500, 0.000, 0.238)
Pd (0.500, 0.500, 0.000)

## Properties
Density of states at the Fermi level   0.631 states/eV/atom
Energy relative to the elements   -4.29 eV per formula unit
Total DFT energy (no corrections)   -36.92 eV for the cell shown

3.
A geometry-optimized BaTlCdPd3 structure. Source: the Alexandria database, functional GGA-PBE.

abc: 6.861 6.432 7.362
angles: 115.90 90.00 90.00
Fractional coordinates of all 12 atoms:
Pd (0.500, 0.715, 0.000)
Pd (0.500, 0.285, 0.000)
Ba (0.250, 0.683, 0.365)
Pd (0.250, 0.143, 0.286)
Tl (0.750, 0.643, 0.286)
Pd (0.000, 0.715, 0.000)
Ba (0.750, 0.317, 0.635)
Tl (0.250, 0.357, 0.714)
Cd (0.750, 0.070, 0.140)
Pd (0.000, 0.285, 0.000)
Pd (0.750, 0.857, 0.714)
Cd (0.250, 0.930, 0.860)

## Properties
Density of states at the Fermi level   0.440 states/eV/atom
Energy relative to the elements   -1.51 eV per formula unit
Total DFT energy (no corrections)   -44.59 eV for the cell shown

4.
A geometry-optimized Ba2ZnCd6Pd structure. Source: the Alexandria database, functional GGA-PBE.

abc: 7.330 7.483 7.316
angles: 60.85 59.89 90.00
Fractional coordinates of all 10 atoms:
Cd (0.671, 0.171, 0.079)
Cd (0.329, 0.829, 0.921)
Cd (0.751, 0.829, 0.920)
Cd (0.250, 0.170, 0.500)
Cd (0.750, 0.830, 0.500)
Ba (0.211, 0.633, 0.577)
Cd (0.249, 0.171, 0.080)
Ba (0.789, 0.367, 0.423)
Pd (0.000, 0.000, 0.000)
Zn (0.500, 0.500, 0.000)

## Properties
Density of states at the Fermi level   0.724 states/eV/atom
Energy relative to the elements   -2.57 eV per formula unit
Total DFT energy (no corrections)   -18.38 eV for the cell shown